Density functional theory data (GGA-PBE) for an optimized crystal structure of TbSi2Pt2Rh.

Cell lengths 4.1760, 4.1760, 6.7139 Å; angles 90.00, 90.00, 120.00 degrees
Space group P-3m1 (No. 164)
Asymmetric unit:
Tb1 0.0000 0.0000 0.0000 x1
Si1 0.3333 0.6667 0.3253 x2
Pt1 0.3333 0.6667 0.7153 x2
Rh1 0.0000 0.0000 0.5000 x1

Calculated values
Its energy relative to the elements, uncorrected is -0.9997 eV per atom. For the total energy, the calculation gives -40.907 eV per cell. Its spin magnetization is 0.000 μB per atom.


Density functional theory data (GGA-PBE) for an optimized crystal structure of ThSi2PtRh2.

Cell lengths 4.5303, 4.5303, 5.6139 Å; angles 90.00, 90.00, 90.00 degrees
Space group P4/mmm (No. 123)
Asymmetric unit:
Th1 0.0000 0.0000 0.0000 x1
Si1 0.0000 0.5000 0.5000 x2
Pt1 0.0000 0.0000 0.5000 x1
Rh1 0.5000 0.5000 0.2483 x2

Calculated values
Its energy relative to the elements, uncorrected is -0.3831 eV per atom. For the total energy, the calculation gives -41.308 eV per cell. Its spin magnetization is 0.000 μB per atom.


Density functional theory data (GGA-PBE) for an optimized crystal structure of Th2SiPt2Rh4.

Cell lengths 6.1657, 6.1657, 8.5301 Å; angles 90.00, 90.00, 90.00 degrees
Space group I4/mmm (No. 139)
Asymmetric unit:
Th1 0.0000 0.5000 0.2500 x4
Si1 0.0000 0.0000 0.0000 x2
Pt1 0.0000 0.0000 0.2728 x4
Rh1 0.2349 0.2349 0.5000 x8

Calculated values
Its energy relative to the elements, uncorrected is -1.0194 eV per atom. For the total energy, the calculation gives -141.849 eV per cell. Its spin magnetization is 0.000 μB per atom.


Density functional theory data (GGA-PBE) for an optimized crystal structure of Th2Si4PtRh3.

Cell lengths 4.1730, 4.1730, 10.0595 Å; angles 90.00, 90.00, 90.00 degrees
Space group P-4m2 (No. 115)
Asymmetric unit:
Th1 0.0000 0.5000 0.2439 x2
Si1 0.0000 0.0000 0.0000 x1
Si2 0.0000 0.5000 0.6369 x2
Si3 0.5000 0.5000 0.0000 x1
Pt1 0.0000 0.0000 0.5000 x1
Rh1 0.0000 0.5000 0.8770 x2
Rh2 0.5000 0.5000 0.5000 x1

Calculated values
Its energy relative to the elements, uncorrected is -1.0865 eV per atom. For the total energy, the calculation gives -75.492 eV per cell. Its spin magnetization is 0.000 μB per atom.


Density functional theory data (GGA-PBE) for an optimized crystal structure of ThSi2Pt2Rh.

Cell lengths 3.9993, 3.9993, 14.9591 Å; angles 90.00, 90.00, 90.00 degrees
Space group I4/mmm (No. 139)
Asymmetric unit:
Th1 0.0000 0.0000 0.0000 x2
Si1 0.0000 0.0000 0.3439 x4
Pt1 0.0000 0.5000 0.2500 x4
Rh1 0.0000 0.0000 0.5000 x2

Calculated values
Its energy relative to the elements, uncorrected is -0.7626 eV per atom. For the total energy, the calculation gives -84.549 eV per cell. Its spin magnetization is 0.000 μB per atom.


Density functional theory data (GGA-PBE) for an optimized crystal structure of Th2Si3Pt4Rh.

Cell lengths 4.1199, 4.1199, 10.8441 Å; angles 90.00, 90.00, 90.00 degrees
Space group P-4m2 (No. 115)
Asymmetric unit:
Th1 0.0000 0.5000 0.2449 x2
Si1 0.0000 0.0000 0.0000 x1
Si2 0.0000 0.5000 0.6251 x2
Pt1 0.0000 0.0000 0.5000 x1
Pt2 0.0000 0.5000 0.8424 x2
Pt3 0.5000 0.5000 0.5000 x1
Rh1 0.5000 0.5000 0.0000 x1

Calculated values
Its energy relative to the elements, uncorrected is -0.9827 eV per atom. For the total energy, the calculation gives -72.450 eV per cell. Its spin magnetization is 0.000 μB per atom.


Density functional theory data (GGA-PBE) for an optimized crystal structure of ThSi2Pt5Rh.

Cell lengths 4.0913, 4.0913, 10.4940 Å; angles 90.00, 90.00, 90.00 degrees
Space group P4/mmm (No. 123)
Asymmetric unit:
Th1 0.0000 0.0000 0.0000 x1
Si1 0.5000 0.5000 0.2241 x2
Pt1 0.0000 0.5000 0.3361 x4
Pt2 0.5000 0.5000 0.0000 x1
Rh1 0.0000 0.0000 0.5000 x1

Calculated values
Its energy relative to the elements, uncorrected is -0.4847 eV per atom. For the total energy, the calculation gives -60.183 eV per cell. Its spin magnetization is 0.001 μB per atom.


Density functional theory data (GGA-PBE) for an optimized crystal structure of Th2Si3Pt12Rh.

Cell lengths 8.2381, 8.2381, 18.1664 Å; angles 90.00, 90.00, 120.00 degrees
Space group R-3m (No. 166, hexagonal axes)
Asymmetric unit:
Th1 0.0000 0.0000 0.1154 x6
Si1 0.0000 0.5000 0.0000 x9
Pt1 0.0092 0.5046 0.8713 x18
Pt2 0.0242 0.5121 0.3696 x18
Rh1 0.0000 0.0000 0.5000 x3

Calculated values
Its energy relative to the elements, uncorrected is -0.4783 eV per atom. For the total energy, the calculation gives -358.679 eV per cell. Its spin magnetization is 0.000 μB per atom.


> energy relative to the elements, uncorrected of number 3 (Th2SiPt2Rh4)?

-1.0194 eV per atom